[1]
A plane-wave DFT calculation with PBE was carried out for a relaxed structure of TePd3O.

a b c (Å): 4.3502 4.3502 4.3502
angles (deg): 90.00 90.00 90.00
Fractional positions:
Te 0.0000 0.0000 0.0000
Pd 0.0000 0.5000 0.5000
Pd 0.5000 0.0000 0.5000
Pd 0.5000 0.5000 0.0000
O 0.5000 0.5000 0.5000

Results
D(E_F): 4.745 states/eV/cell
SG: No. 221
Formation energy from raw total energies: -0.016 eV per atom
Crystal system: cubic



[2]
A plane-wave DFT calculation with PBE was carried out for a relaxed structure of Te3PdO.

a b c (Å): 5.2112 5.2112 5.2112
angles (deg): 90.00 90.00 90.00
Fractional positions:
Te 0.0000 0.0000 0.5000
Te 0.0000 0.5000 0.0000
Te 0.5000 0.0000 0.0000
Pd 0.0000 0.0000 0.0000
O 0.5000 0.5000 0.5000

Results
D(E_F): 10.731 states/eV/cell
SG: No. 221
Formation energy from raw total energies: 0.879 eV per atom
Crystal system: cubic